A relaxed CsTbGd crystal, computed with PBE-GGA.

Lattice parameters (Å, degrees): 5.5361 5.5361 5.5361 60.00 60.00 60.00
Closest atoms and distances in Å follow each position.
Fractional positions:
Cs (0.0000, 0.0000, 0.0000)  4 Gd 3.39, 4 Tb 3.39
Gd (0.7500, 0.7500, 0.7500)  4 Cs 3.39
Tb (0.2500, 0.2500, 0.2500)  4 Cs 3.39

Calculated values
Symmetry: No. 216
VASP energy in eV/cell: -6.39
Crystal system: cubic

***

A relaxed CsTbGdTe3 crystal, computed with PBE-GGA.

Lattice parameters (Å, degrees): 9.0909 9.0909 11.8791 90.00 90.00 149.23
Closest atoms and distances in Å follow each position.
Fractional positions:
Te (0.6191, 0.3809, 0.9613)  1 Gd 2.94, 2 Tb 3.22
Cs (0.2550, 0.7450, 0.7500)  8 Te 3.96-4.22
Tb (0.0000, 0.0000, 0.0000)  6 Te 3.19-3.22
Te (0.3809, 0.6191, 0.4613)  1 Gd 2.94, 2 Tb 3.22
Gd (0.5316, 0.4684, 0.7500)  4 Te 2.94-2.96
Gd (0.4684, 0.5316, 0.2500)  4 Te 2.94-2.96
Tb (0.0000, 0.0000, 0.5000)  6 Te 3.19-3.22
Te (0.6191, 0.3809, 0.5387)  1 Gd 2.94, 2 Tb 3.22
Te (0.0662, 0.9338, 0.2500)  2 Gd 2.96, 2 Tb 3.19
Cs (0.7450, 0.2550, 0.2500)  8 Te 3.96-4.22
Te (0.3809, 0.6191, 0.0387)  1 Gd 2.94, 2 Tb 3.22
Te (0.9338, 0.0662, 0.7500)  2 Gd 2.96, 2 Tb 3.19

Calculated values
Symmetry: No. 63
VASP energy in eV/cell: -54.03
Crystal system: orthorhombic

***

A relaxed CsTbGdTe3 crystal, computed with PBE-GGA.

Lattice parameters (Å, degrees): 9.0800 9.0800 11.9219 90.00 90.00 149.23
Closest atoms and distances in Å follow each position.
Fractional positions:
Te (0.9343, 0.0657, 0.2500)  2 Tb 2.95, 2 Gd 3.19
Tb (0.4680, 0.5320, 0.7500)  4 Te 2.93-2.95
Te (0.0657, 0.9343, 0.7500)  2 Tb 2.95, 2 Gd 3.19
Te (0.6198, 0.3802, 0.0407)  1 Tb 2.93, 2 Gd 3.23
Gd (0.0000, 0.0000, 0.5000)  6 Te 3.19-3.23
Te (0.6198, 0.3802, 0.4593)  1 Tb 2.93, 2 Gd 3.23
Gd (0.0000, 0.0000, 0.0000)  6 Te 3.19-3.23
Te (0.3802, 0.6198, 0.9593)  1 Tb 2.93, 2 Gd 3.23
Cs (0.7448, 0.2552, 0.7500)  8 Te 3.95-4.20
Te (0.3802, 0.6198, 0.5407)  1 Tb 2.93, 2 Gd 3.23
Cs (0.2552, 0.7448, 0.2500)  8 Te 3.95-4.20
Tb (0.5320, 0.4680, 0.2500)  4 Te 2.93-2.95

Calculated values
Symmetry: No. 63
VASP energy in eV/cell: -54.13
Crystal system: orthorhombic